NpPaMnN3 | GGA-PBE | relaxed

It has space group P2_1/m (No. 11), with a = 7.076 Å, b = 3.321 Å, c = 7.189 Å, α = 90.00°, β = 98.57° and γ = 90.00°. The distinct sites, in fractional coordinates, are Np at (0.191, 0.250, 0.157), Pa at (0.189, 0.250, 0.651), Mn at (0.422, 0.750, 0.905), N at (0.138, 0.750, 0.414), N at (0.141, 0.750, 0.889) and N at (0.458, 0.750, 0.175).

The value obtained for the total energy is -10.4351 eV per atom. Its density is 11.23 g/cm³. The calculation puts the size of the total moment at 3.13 μB/f.u.